DFT (PBE) results for a relaxed structure of Sr2TeOs.

Calculated values
Relative energy among the computed polymorphs, meV/atom: 468
Raw formation energy, eV/atom: 0.3236

Cell lengths 5.2181, 5.2181, 5.2181 Å; angles 60.00, 60.00, 60.00 degrees
Element x y z (fractional)
1 Os 0.5000 0.5000 0.5000
2 Sr 0.0000 0.0000 0.0000
3 Te 0.7500 0.7500 0.7500
4 Sr 0.2500 0.2500 0.2500


DFT (PBE) results for a relaxed structure of Sr2TeOs.

Calculated values
Relative energy among the computed polymorphs, meV/atom: 312
Raw formation energy, eV/atom: 0.1668

Cell lengths 4.6082, 4.6088, 6.5797 Å; angles 90.00, 90.00, 90.00 degrees
Element x y z (fractional)
1 Os 0.5000 0.5000 0.8740
2 Sr 0.0000 0.0000 0.8761
3 Sr 0.5000 0.5000 0.3738
4 Te 0.0000 0.0000 0.3761


DFT (PBE) results for a relaxed structure of SrTeOs.

Calculated values
Relative energy among the computed polymorphs, meV/atom: 0
Raw formation energy, eV/atom: -0.0526

Cell lengths 4.4569, 4.4569, 4.7043 Å; angles 90.00, 90.00, 120.00 degrees
Element x y z (fractional)
1 Os 0.0000 0.0000 0.8332
2 Sr 0.6667 0.3333 0.3334
3 Te 0.3333 0.6667 0.8334


DFT (PBE) results for a relaxed structure of SrTe2Os.

Calculated values
Relative energy among the computed polymorphs, meV/atom: 198
Raw formation energy, eV/atom: -0.2274

Cell lengths 5.8333, 5.8333, 5.8333 Å; angles 139.42, 115.95, 78.63 degrees
Element x y z (fractional)
1 Os 0.7500 0.2500 0.5000
2 Te 0.5636 0.5636 0.0000
3 Te 0.9364 0.9364 0.0000
4 Sr 0.2500 0.7500 0.5000


DFT (PBE) results for a relaxed structure of Sr2TeOs.

Calculated values
Relative energy among the computed polymorphs, meV/atom: 408
Raw formation energy, eV/atom: 0.2630

Cell lengths 8.7927, 8.7927, 6.9189 Å; angles 50.55, 50.55, 90.00 degrees
Element x y z (fractional)
1 Sr 0.0628 0.6250 0.2500
2 Sr 0.3750 0.3128 0.7500
3 Os 0.0000 0.0000 0.0000
4 Te 0.5000 0.5000 0.0000
5 Sr 0.6872 0.1250 0.2500
6 Te 0.2500 0.7500 0.5000
7 Sr 0.8750 0.9372 0.7500
8 Os 0.7500 0.2500 0.5000


DFT (PBE) results for a relaxed structure of SrTeOs.

Calculated values
Relative energy among the computed polymorphs, meV/atom: 1267
Raw formation energy, eV/atom: 1.2142

Cell lengths 5.1519, 5.1519, 5.1519 Å; angles 60.00, 60.00, 60.00 degrees
Element x y z (fractional)
1 Sr 0.7500 0.7500 0.7500
2 Os 0.5000 0.5000 0.5000
3 Te 0.0000 0.0000 0.0000


DFT (PBE) results for a relaxed structure of Sr2TeOs.

Calculated values
Relative energy among the computed polymorphs, meV/atom: 55
Raw formation energy, eV/atom: -0.0898

Cell lengths 7.1023, 7.1023, 5.1748 Å; angles 68.64, 68.64, 29.31 degrees
Element x y z (fractional)
1 Te 0.5737 0.5737 0.4262
2 Sr 0.7463 0.7463 0.7537
3 Os 0.2276 0.2276 0.2724
4 Sr 0.9523 0.9523 0.0477


DFT (PBE) results for a relaxed structure of SrTe2Os.

Calculated values
Relative energy among the computed polymorphs, meV/atom: 98
Raw formation energy, eV/atom: -0.3271

Cell lengths 8.1959, 8.1959, 6.7701 Å; angles 52.75, 52.75, 90.00 degrees
Element x y z (fractional)
1 Sr 0.2500 0.7500 0.5000
2 Te 0.7188 0.1250 0.2500
3 Te 0.0312 0.6250 0.2500
4 Os 0.7500 0.2500 0.5000
5 Sr 0.5000 0.5000 0.0000
6 Te 0.3750 0.2812 0.7500
7 Te 0.8750 0.9688 0.7500
8 Os 0.0000 0.0000 0.0000